1.
Entry from OQMD via LeMat-Bulk: a relaxed Na4Ga2CuPt crystal (PBE).

a b c (Å): 4.7202 4.7202 6.6304
angles (deg): 90.00 90.00 90.00
Closest atoms and distances in Å follow each position.
Positions (direct):
Na 0.0000 0.0000 0.0000  4 Ga 2.83, 4 Na 2.91
Na 0.0000 0.5000 0.7438  4 Na 2.86-2.91, 2 Cu 2.86, 2 Pt 2.91
Na 0.5000 0.0000 0.2562  4 Na 2.86-2.91, 2 Cu 2.86, 2 Pt 2.91
Na 0.5000 0.5000 0.5000  4 Na 2.86, 4 Ga 2.94
Ga 0.0000 0.5000 0.2358  4 Na 2.83-2.94, 2 Pt 2.83, 2 Cu 2.94
Ga 0.5000 0.0000 0.7642  4 Na 2.83-2.94, 2 Pt 2.83, 2 Cu 2.94
Cu 0.0000 0.0000 0.5000  4 Na 2.86, 4 Ga 2.94
Pt 0.5000 0.5000 0.0000  4 Ga 2.83, 4 Na 2.91

Electronic total energy = -2.678 eV per atom
SG = P-4m2

2.
Entry from OQMD via LeMat-Bulk: a relaxed AlZnCoW crystal (PBE).

a b c (Å): 6.0095 6.0095 6.0095
angles (deg): 90.00 90.00 90.00
Closest atoms and distances in Å follow each position.
Positions (direct):
Al 0.0000 0.0000 0.0000  4 Co 2.60, 4 Zn 2.60
Al 0.0000 0.5000 0.5000  4 Co 2.60, 4 Zn 2.60
Al 0.5000 0.0000 0.5000  4 Co 2.60, 4 Zn 2.60
Al 0.5000 0.5000 0.0000  4 Co 2.60, 4 Zn 2.60
Zn 0.2500 0.2500 0.7500  4 W 2.60, 4 Al 2.60
Zn 0.2500 0.7500 0.2500  4 W 2.60, 4 Al 2.60
Zn 0.7500 0.2500 0.2500  4 W 2.60, 4 Al 2.60
Zn 0.7500 0.7500 0.7500  4 W 2.60, 4 Al 2.60
Co 0.2500 0.2500 0.2500  4 W 2.60, 4 Al 2.60
Co 0.2500 0.7500 0.7500  4 W 2.60, 4 Al 2.60
Co 0.7500 0.2500 0.7500  4 W 2.60, 4 Al 2.60
Co 0.7500 0.7500 0.2500  4 W 2.60, 4 Al 2.60
W 0.0000 0.0000 0.5000  4 Co 2.60, 4 Zn 2.60
W 0.0000 0.5000 0.0000  4 Co 2.60, 4 Zn 2.60
W 0.5000 0.0000 0.0000  4 Co 2.60, 4 Zn 2.60
W 0.5000 0.5000 0.5000  4 Co 2.60, 4 Zn 2.60

Excess energy over the best structure of this formula in the dataset = 0.0 meV/atom
Electronic total energy = -6.110 eV per atom
SG = F-43m

3.
Entry from OQMD via LeMat-Bulk: a relaxed Y2Ni2B3N crystal (PBE).

a b c (Å): 3.6279 3.6279 7.4794
angles (deg): 90.00 90.00 90.00
Closest atoms and distances in Å follow each position.
Positions (direct):
Y 0.0000 0.0000 0.0000  1 N 2.37, 4 B 2.57
Y 0.5000 0.5000 0.3383  1 B 2.52, 4 N 2.57
Ni 0.0000 0.5000 0.6577  4 B 2.05-2.12
Ni 0.5000 0.0000 0.6577  4 B 2.05-2.12
B 0.0000 0.0000 0.5100  1 N 1.44
B 0.5000 0.5000 0.0008  1 B 1.62
B 0.5000 0.5000 0.7847  1 B 1.62
N 0.0000 0.0000 0.3171  1 B 1.44

Electronic total energy = -7.256 eV per atom
SG = P4mm

4.
Entry from OQMD via LeMat-Bulk: a relaxed Ba2TcGe crystal (PBE).

a b c (Å): 7.6340 7.6340 7.6340
angles (deg): 90.00 90.00 90.00
Closest atoms and distances in Å follow each position.
Positions (direct):
Ba 0.0000 0.0000 0.0000  4 Ba 3.31, 4 Tc 3.31
Ba 0.0000 0.5000 0.5000  4 Ba 3.31, 4 Tc 3.31
Ba 0.2500 0.2500 0.2500  4 Ge 3.31, 4 Ba 3.31
Ba 0.2500 0.7500 0.7500  4 Ge 3.31, 4 Ba 3.31
Ba 0.5000 0.0000 0.5000  4 Ba 3.31, 4 Tc 3.31
Ba 0.5000 0.5000 0.0000  4 Ba 3.31, 4 Tc 3.31
Ba 0.7500 0.2500 0.7500  4 Ge 3.31, 4 Ba 3.31
Ba 0.7500 0.7500 0.2500  4 Ge 3.31, 4 Ba 3.31
Tc 0.2500 0.2500 0.7500  4 Ge 3.31, 4 Ba 3.31
Tc 0.2500 0.7500 0.2500  4 Ge 3.31, 4 Ba 3.31
Tc 0.7500 0.2500 0.2500  4 Ge 3.31, 4 Ba 3.31
Tc 0.7500 0.7500 0.7500  4 Ge 3.31, 4 Ba 3.31
Ge 0.0000 0.0000 0.5000  4 Tc 3.31, 4 Ba 3.31
Ge 0.0000 0.5000 0.0000  4 Tc 3.31, 4 Ba 3.31
Ge 0.5000 0.0000 0.0000  4 Tc 3.31, 4 Ba 3.31
Ge 0.5000 0.5000 0.5000  4 Tc 3.31, 4 Ba 3.31

Electronic total energy = -4.144 eV per atom
SG = F-43m

5.
Entry from OQMD via LeMat-Bulk: a relaxed SrBeP2Os crystal (PBE).

a b c (Å): 3.7923 3.7923 12.1960
angles (deg): 90.00 90.00 90.00
Closest atoms and distances in Å follow each position.
Positions (direct):
Sr 0.0000 0.0000 0.0000  8 P 3.19
Sr 0.5000 0.5000 0.5000  8 P 3.19
Be 0.0000 0.5000 0.2500  4 P 2.31
Be 0.5000 0.0000 0.7500  4 P 2.31
P 0.0000 0.0000 0.3589  2 Os 2.31, 2 Be 2.31
P 0.0000 0.0000 0.6411  2 Be 2.31, 2 Os 2.31
P 0.5000 0.5000 0.1411  2 Be 2.31, 2 Os 2.31
P 0.5000 0.5000 0.8589  2 Os 2.31, 2 Be 2.31
Os 0.0000 0.5000 0.7500  4 P 2.31
Os 0.5000 0.0000 0.2500  4 P 2.31

Electronic total energy = -6.002 eV per atom
SG = I-4m2

6.
Entry from OQMD via LeMat-Bulk: a relaxed GdDy2Sn3Pd3 crystal (PBE).

a b c (Å): 3.9382 7.6209 7.6209
angles (deg): 120.09 90.00 90.00
Closest atoms and distances in Å follow each position.
Positions (direct):
Gd 0.0000 0.0000 0.0000  5 Pd 3.05-3.09, 6 Sn 3.22-3.35
Dy 0.0000 0.4044 0.8084  5 Pd 3.03-3.07, 6 Sn 3.23-3.35
Dy 0.0000 0.8084 0.4044  5 Pd 3.03-3.07, 6 Sn 3.23-3.35
Sn 0.5000 0.1443 0.4050  4 Pd 2.80-2.86
Sn 0.5000 0.4050 0.1443  4 Pd 2.80-2.86
Sn 0.5000 0.6651 0.6651  4 Pd 2.79-2.87
Pd 0.0000 0.4059 0.4059  6 Sn 2.79-2.80, 2 Dy 3.07, 1 Gd 3.09
Pd 0.5000 0.0719 0.7362  3 Sn 2.84-2.87, 4 Dy 3.03, 2 Gd 3.05
Pd 0.5000 0.7362 0.0719  3 Sn 2.84-2.87, 4 Dy 3.03, 2 Gd 3.05

Electronic total energy = -5.538 eV per atom
SG = Amm2

7.
Entry from OQMD via LeMat-Bulk: a relaxed Tl4Hg crystal (PBE).

a b c (Å): 6.9731 6.9731 6.9731
angles (deg): 90.00 90.00 90.00
Closest atoms and distances in Å follow each position.
Positions (direct):
Tl 0.2500 0.2500 0.2500  2 Hg 3.02
Tl 0.2500 0.2500 0.7500  2 Hg 3.02
Tl 0.2500 0.7500 0.2500  2 Hg 3.02
Tl 0.2500 0.7500 0.7500  2 Hg 3.02
Tl 0.7500 0.2500 0.2500  2 Hg 3.02
Tl 0.7500 0.2500 0.7500  2 Hg 3.02
Tl 0.7500 0.7500 0.2500  2 Hg 3.02
Tl 0.7500 0.7500 0.7500  2 Hg 3.02
Hg 0.0000 0.0000 0.0000  8 Tl 3.02
Hg 0.5000 0.5000 0.5000  8 Tl 3.02

Electronic total energy = -1.746 eV per atom
SG = Im-3m

8.
Entry from OQMD via LeMat-Bulk: a relaxed Zr3Ni crystal (PBE).

a b c (Å): 6.0605 6.0605 4.9143
angles (deg): 90.00 90.00 120.00
Closest atoms and distances in Å follow each position.
Positions (direct):
Zr 0.1744 0.3488 0.2500  8 Zr 2.89-3.17, 4 Ni 2.97-3.03
Zr 0.1744 0.8256 0.2500  8 Zr 2.89-3.17, 4 Ni 2.97-3.03
Zr 0.3488 0.1744 0.7500  8 Zr 2.89-3.17, 4 Ni 2.97-3.03
Zr 0.6512 0.8256 0.2500  8 Zr 2.89-3.17, 4 Ni 2.97-3.03
Zr 0.8256 0.1744 0.7500  8 Zr 2.89-3.17, 4 Ni 2.97-3.03
Zr 0.8256 0.6512 0.7500  8 Zr 2.89-3.17, 4 Ni 2.97-3.03
Ni 0.3333 0.6667 0.7500  12 Zr 2.97-3.03
Ni 0.6667 0.3333 0.2500  12 Zr 2.97-3.03

Electronic total energy = -7.779 eV per atom
SG = P6_3/mmc
Energy of formation from the pure elements = 24 meV per atom

> Which of these has the lowest electronic total energy?

Zr3Ni